# 1
# Al2HgOs

Crystalline Al2HgOs at its relaxed geometry (PBE, the Alexandria database).

symmetry = Cmmm
ΔH_f (0 K) = 0.1776 eV/atom
N(E_F) = 0.6340 states/eV per atom

Cell: 2.9528 2.9528 8.9022 Å, 90.00 90.00 117.53°
Last column: nearest neighbours and their distance in Å.
Sites, in units of the cell vectors:
Os1 0.5000 0.5000 0.7500  4 Al 2.49
Hg1 0.5000 0.5000 0.2500  4 Al 2.92, 6 Hg 2.95-3.06
Al1 0.0000 0.0000 0.9704  2 Os 2.49
Al2 0.0000 0.0000 0.5296  2 Os 2.49

---

# 2
# CsNF3

Crystalline CsNF3 at its relaxed geometry (PBE, the Alexandria database).

formation energy from raw total energies = -931 meV/atom
symmetry = P2_1/c
offset from the most stable computed form = 0 meV per atom

Cell: 6.4456 7.0035 8.9648 Å, 90.00 91.41 90.00°
Last column: nearest neighbours and their distance in Å.
Sites, in units of the cell vectors:
Cs1 0.0024 0.5245 0.2519  10 F 3.10-3.41
Cs2 0.4976 0.0245 0.2481  10 F 3.10-3.41
Cs3 0.9976 0.4755 0.7481  10 F 3.10-3.41
Cs4 0.5024 0.9755 0.7519  10 F 3.10-3.41
N1 0.5051 0.5724 0.0332  1 N 1.18
N2 0.9949 0.0724 0.4668  1 N 1.18
N3 0.4949 0.4276 0.9668  1 N 1.18
N4 0.0051 0.9276 0.5332  1 N 1.18
F1 0.2249 0.7312 0.5226  1 N 1.98
F2 0.2751 0.2312 0.9774  1 N 1.98
F3 0.7751 0.2688 0.4774  1 N 1.98
F4 0.7249 0.7688 0.0226  1 N 1.98
F5 0.0048 0.9496 0.7278  1 N 1.75
F6 0.4952 0.4496 0.7722  1 N 1.75
F7 0.9952 0.0504 0.2722  1 N 1.75
F8 0.5048 0.5504 0.2278  1 N 1.75
F9 0.7905 0.7748 0.5028  1 N 1.77
F10 0.7095 0.2748 0.9972  1 N 1.77
F11 0.2095 0.2252 0.4972  1 N 1.77
F12 0.2905 0.7252 0.0028  1 N 1.77

---

# 3
# SbTe

Crystalline SbTe at its relaxed geometry (PBE, the Alexandria database).

formation energy from raw total energies = 133 meV/atom
symmetry = P-3m1
N(E_F) = 0.9343 states/eV per atom
offset from the most stable computed form = 238 meV per atom

Cell: 4.1169 4.1169 8.6757 Å, 90.00 90.00 120.00°
Last column: nearest neighbours and their distance in Å.
Sites, in units of the cell vectors:
Sb1 0.0000 0.0000 0.9986  3 Te 3.05, 3 Sb 3.23
Sb2 0.6667 0.3333 0.2514  3 Te 3.05, 3 Sb 3.23
Te1 0.0000 0.0000 0.4715  3 Sb 3.05
Te2 0.6667 0.3333 0.7785  3 Sb 3.05

---

# 4
# SrMg14Cd

Crystalline SrMg14Cd at its relaxed geometry (PBE, the Alexandria database).

symmetry = P-6m2
ΔH_f (0 K) = 0.0220 eV/atom
N(E_F) = 0.4166 states/eV per atom
offset from the most stable computed form = 9 meV per atom

Cell: 6.5478 6.5478 10.5613 Å, 90.00 90.00 120.00°
Last column: nearest neighbours and their distance in Å.
Sites, in units of the cell vectors:
Sr1 0.0000 0.0000 0.0000  12 Mg 3.27-3.36
Mg1 0.0117 0.5058 0.0000  10 Mg 3.16-3.39, 2 Sr 3.27
Mg2 0.9917 0.4958 0.5000  10 Mg 3.16-3.36, 2 Cd 3.27
Mg3 0.4942 0.9883 0.0000  10 Mg 3.16-3.39, 2 Sr 3.27
Mg4 0.5042 0.0083 0.5000  10 Mg 3.16-3.36, 2 Cd 3.27
Mg5 0.4942 0.5058 0.0000  10 Mg 3.16-3.39, 2 Sr 3.27
Mg6 0.5042 0.4958 0.5000  10 Mg 3.16-3.36, 2 Cd 3.27
Mg7 0.1693 0.8307 0.2614  10 Mg 3.16-3.32, 1 Cd 3.17, 1 Sr 3.36
Mg8 0.1693 0.8307 0.7386  10 Mg 3.16-3.32, 1 Cd 3.17, 1 Sr 3.36
Mg9 0.1693 0.3385 0.2614  10 Mg 3.16-3.32, 1 Cd 3.17, 1 Sr 3.36
Mg10 0.1693 0.3385 0.7386  10 Mg 3.16-3.32, 1 Cd 3.17, 1 Sr 3.36
Mg11 0.6615 0.8307 0.2614  10 Mg 3.16-3.32, 1 Cd 3.17, 1 Sr 3.36
Mg12 0.6615 0.8307 0.7386  10 Mg 3.16-3.32, 1 Cd 3.17, 1 Sr 3.36
Mg13 0.6667 0.3333 0.2388  12 Mg 3.19-3.32
Mg14 0.6667 0.3333 0.7612  12 Mg 3.19-3.32
Cd1 0.0000 0.0000 0.5000  12 Mg 3.17-3.27

---

# 5
# Cu2AgSbCl6

Crystalline Cu2AgSbCl6 at its relaxed geometry (PBE, the Alexandria database).

formation energy from raw total energies = -576 meV/atom
symmetry = R3

Cell: 6.6871 6.6901 7.5012 Å, 90.00 116.46 120.01°
Last column: nearest neighbours and their distance in Å.
Sites, in units of the cell vectors:
Cu1 0.4879 0.7435 0.2179  3 Cl 2.24
Cu2 0.5044 0.2516 0.7418  3 Cl 2.24
Ag1 0.9970 0.4982 0.4808  6 Cl 2.78-2.79
Sb1 0.9968 0.9978 0.9805  6 Cl 2.71
Cl1 0.5049 0.9175 0.7354  1 Cu 2.24
Cl2 0.4886 0.0782 0.2250  1 Cu 2.24
Cl3 0.8297 0.7507 0.2250  1 Cu 2.24
Cl4 0.1609 0.4091 0.2252  1 Cu 2.24
Cl5 0.8322 0.5864 0.7355  1 Cu 2.24
Cl6 0.1632 0.2446 0.7354  1 Cu 2.24

---

# 6
# Tl2CrIn

Crystalline Tl2CrIn at its relaxed geometry (PBE, the Alexandria database).

symmetry = Cmmm
ΔH_f (0 K) = 0.4330 eV/atom
N(E_F) = 0.4996 states/eV per atom
offset from the most stable computed form = 117 meV per atom

Cell: 5.5031 5.5031 3.5196 Å, 90.00 90.00 108.93°
Last column: nearest neighbours and their distance in Å.
Sites, in units of the cell vectors:
Cr1 0.5000 0.0000 0.5000  2 In 3.20, 8 Tl 3.27, 2 Cr 3.52
In1 0.0000 0.5000 0.5000  2 Cr 3.20, 8 Tl 3.27, 2 In 3.52
Tl1 0.0000 0.0000 0.0000  4 Tl 3.20-3.52, 4 Cr 3.27, 4 In 3.27
Tl2 0.5000 0.5000 0.0000  4 Tl 3.20-3.52, 4 In 3.27, 4 Cr 3.27

---

# 7
# Cs2NaHBr6

Crystalline Cs2NaHBr6 at its relaxed geometry (PBE, the Alexandria database).

E_tot = -2.398 eV per atom
symmetry = I4/mmm
N(E_F) = 0.7275 states/eV per atom

Cell: 7.3135 7.3135 8.4697 Å, 64.42 64.42 90.00°
Last column: nearest neighbours and their distance in Å.
Sites, in units of the cell vectors:
Cs1 0.7500 0.2500 0.5000  4 Br 3.69
Cs2 0.2500 0.7500 0.5000  4 Br 3.69
Na1 0.0000 0.0000 0.0000  6 Br 2.83-3.02
Br1 0.2107 0.2107 0.5787  1 Na 2.83
Br2 0.7893 0.7893 0.4213  1 Na 2.83
Br3 0.2919 0.2919 0.0000  1 H 2.15
Br4 0.7081 0.7081 0.0000  1 H 2.15
Br5 0.7081 0.2919 0.0000  1 H 2.15
Br6 0.2919 0.7081 0.0000  1 H 2.15
H1 0.5000 0.5000 0.0000  4 Br 2.15

---

# 8
# CsHfAs2S8

Crystalline CsHfAs2S8 at its relaxed geometry (PBE, the Alexandria database).

formation energy from raw total energies = -436 meV/atom
symmetry = P-3
N(E_F) = 0.8346 states/eV per atom

Cell: 6.2979 6.2979 9.6630 Å, 90.00 90.00 120.00°
Last column: nearest neighbours and their distance in Å.
Sites, in units of the cell vectors:
Cs1 0.0000 0.0000 0.0000  12 S 3.69-3.96
Hf1 0.0000 0.0000 0.5000  6 S 2.55
As1 0.6667 0.3333 0.2886  4 S 2.15-2.23
As2 0.3333 0.6667 0.7114  4 S 2.15-2.23
S1 0.3333 0.6667 0.9340  1 As 2.15
S2 0.3265 0.3363 0.3487  1 As 2.23
S3 0.6637 0.9902 0.3487  1 As 2.23
S4 0.6667 0.3333 0.0660  1 As 2.15
S5 0.3363 0.0098 0.6513  1 As 2.23
S6 0.6735 0.6637 0.6513  1 As 2.23
S7 0.9902 0.3265 0.6513  1 As 2.23
S8 0.0098 0.6735 0.3487  1 As 2.23

---

# 9
# LiHfAu4

Crystalline LiHfAu4 at its relaxed geometry (PBE, the Alexandria database).

symmetry = C2/m
ΔH_f (0 K) = -0.4987 eV/atom
N(E_F) = 0.3828 states/eV per atom
offset from the most stable computed form = 0 meV per atom

Cell: 3.5115 5.0511 7.0665 Å, 102.70 75.61 69.66°
Last column: nearest neighbours and their distance in Å.
Sites, in units of the cell vectors:
Li1 0.0000 0.0000 0.0000  10 Au 2.78-3.04
Hf1 0.5000 0.5000 0.5000  10 Au 2.87-2.98
Au1 0.8202 0.5232 0.8364  3 Li 2.78-3.04, 5 Au 2.84-2.92, 2 Hf 2.87
Au2 0.3395 0.9970 0.3239  2 Li 2.83, 5 Au 2.84-2.97, 3 Hf 2.88-2.98
Au3 0.1798 0.4768 0.1636  3 Li 2.78-3.04, 5 Au 2.84-2.92, 2 Hf 2.87
Au4 0.6605 0.0030 0.6761  2 Li 2.83, 5 Au 2.84-2.97, 3 Hf 2.88-2.98

---

# 10
# CsNb2Re

Crystalline CsNb2Re at its relaxed geometry (PBE, the Alexandria database).

symmetry = Fm-3m
ΔH_f (0 K) = 1.5607 eV/atom
N(E_F) = 1.5126 states/eV per atom
offset from the most stable computed form = 0 meV per atom

Cell: 4.8266 4.8266 4.8266 Å, 60.00 60.00 60.00°
Last column: nearest neighbours and their distance in Å.
Sites, in units of the cell vectors:
Cs1 0.0000 0.0000 0.0000  8 Nb 2.96
Re1 0.5000 0.5000 0.5000  8 Nb 2.96
Nb1 0.2500 0.2500 0.2500  4 Re 2.96, 4 Cs 2.96
Nb2 0.7500 0.7500 0.7500  4 Re 2.96, 4 Cs 2.96

---

# 11
# NbReP3

Crystalline NbReP3 at its relaxed geometry (PBE, the Alexandria database).

symmetry = Pm-3m
ΔH_f (0 K) = 1.4983 eV/atom
N(E_F) = 1.4275 states/eV per atom
offset from the most stable computed form = 539 meV per atom

Cell: 4.6866 4.6866 4.6866 Å, 90.00 90.00 90.00°
Last column: nearest neighbours and their distance in Å.
Sites, in units of the cell vectors:
Re1 0.5000 0.5000 0.5000  12 P 3.31
Nb1 0.0000 0.0000 0.0000  6 P 2.34
P1 0.0000 0.5000 0.0000  2 Nb 2.34
P2 0.0000 0.0000 0.5000  2 Nb 2.34
P3 0.5000 0.0000 0.0000  2 Nb 2.34

---

# 12
# PrMgGa

Crystalline PrMgGa at its relaxed geometry (PBE, the Alexandria database).

symmetry = P-6m2
ΔH_f (0 K) = -0.3885 eV/atom
N(E_F) = 0.5699 states/eV per atom
offset from the most stable computed form = 98 meV per atom

Cell: 3.7585 4.8066 4.8066 Å, 120.00 90.00 90.00°
Last column: nearest neighbours and their distance in Å.
Sites, in units of the cell vectors:
Pr1 0.6663 0.6667 0.3333  6 Ga 3.35, 6 Mg 3.35
Mg1 0.1661 0.0000 0.0000  3 Ga 2.78
Ga1 0.1676 0.3333 0.6667  3 Mg 2.78

---

# 13
# Er3MgIn4

Crystalline Er3MgIn4 at its relaxed geometry (PBE, the Alexandria database).

symmetry = I4/mmm
ΔH_f (0 K) = -0.3808 eV/atom
N(E_F) = 0.6022 states/eV per atom

Cell: 4.7142 4.7143 9.5883 Å, 104.23 104.23 90.06°
Last column: nearest neighbours and their distance in Å.
Sites, in units of the cell vectors:
Mg1 0.5000 0.0000 0.0000  8 In 3.22, 4 Er 3.33-3.34
In1 0.3777 0.3777 0.7555  2 Mg 3.22, 6 Er 3.22-3.35, 4 In 3.33-3.34
In2 0.6223 0.6223 0.2445  2 Mg 3.22, 6 Er 3.22-3.35, 4 In 3.33-3.34
In3 0.1223 0.1222 0.2445  6 Er 3.22-3.36, 2 Mg 3.22, 4 In 3.33-3.34
In4 0.8777 0.8778 0.7555  6 Er 3.22-3.36, 2 Mg 3.22, 4 In 3.33-3.34
Er1 0.0000 0.5000 0.0000  8 In 3.22, 4 Mg 3.33-3.34
Er2 0.7548 0.2548 0.5099  8 In 3.23-3.36, 4 Er 3.33-3.34
Er3 0.2452 0.7452 0.4901  8 In 3.23-3.36, 4 Er 3.33-3.34

---

# 14
# ZrFe3Te

Crystalline ZrFe3Te at its relaxed geometry (PBE, the Alexandria database).

formation energy from raw total energies = 1391 meV/atom
symmetry = Pm-3m
N(E_F) = 1.7256 states/eV per atom
offset from the most stable computed form = 440 meV per atom

Cell: 4.7008 4.7008 4.7008 Å, 90.00 90.00 90.00°
Last column: nearest neighbours and their distance in Å.
Sites, in units of the cell vectors:
Te1 0.5000 0.5000 0.5000  12 Fe 3.32
Fe1 0.0000 0.5000 0.0000  2 Zr 2.35
Fe2 0.0000 0.0000 0.5000  2 Zr 2.35
Fe3 0.5000 0.0000 0.0000  2 Zr 2.35
Zr1 0.0000 0.0000 0.0000  6 Fe 2.35

---

# 15
# POs5

Crystalline POs5 at its relaxed geometry (PBE, the Alexandria database).

symmetry = Amm2
ΔH_f (0 K) = 0.2892 eV/atom
N(E_F) = 0.6746 states/eV per atom
offset from the most stable computed form = 76 meV per atom

Cell: 7.2595 7.2595 4.2879 Å, 90.00 90.00 157.87°
Last column: nearest neighbours and their distance in Å.
Sites, in units of the cell vectors:
P1 0.1198 0.8802 0.5000  10 Os 2.63-2.92, 2 P 2.79
Os1 0.0032 0.9968 0.0000  10 Os 2.68-2.85, 2 P 2.71
Os2 0.3289 0.6711 0.0000  12 Os 2.66-2.85
Os3 0.6637 0.3363 0.0000  4 P 2.63, 8 Os 2.68-2.79
Os4 0.4397 0.5603 0.5000  10 Os 2.66-2.79, 2 P 2.92
Os5 0.7781 0.2219 0.5000  2 P 2.65, 10 Os 2.66-2.79

---

# 16
# Ho2TiTe4

Crystalline Ho2TiTe4 at its relaxed geometry (PBE, the Alexandria database).

formation energy from raw total energies = -1123 meV/atom
symmetry = C2/m
N(E_F) = 0.6520 states/eV per atom

Cell: 4.2154 7.5070 8.0222 Å, 118.19 105.23 90.00°
Last column: nearest neighbours and their distance in Å.
Sites, in units of the cell vectors:
Ho1 0.7435 0.7587 0.4870  6 Te 3.03-3.13
Ho2 0.2565 0.2413 0.5130  6 Te 3.03-3.13
Ti1 0.0000 0.0000 0.0000  6 Te 2.86-2.92
Te1 0.8900 0.2137 0.7799  1 Ti 2.86, 3 Ho 3.03-3.04
Te2 0.1100 0.7863 0.2201  1 Ti 2.86, 3 Ho 3.03-3.04
Te3 0.6195 0.2816 0.2391  2 Ti 2.92, 3 Ho 3.11-3.13
Te4 0.3805 0.7184 0.7609  2 Ti 2.92, 3 Ho 3.11-3.13

---

# 17
# Tm6As3P2S

Crystalline Tm6As3P2S at its relaxed geometry (PBE, the Alexandria database).

formation energy from raw total energies = -1644 meV/atom
symmetry = C2/m
N(E_F) = 0.1538 states/eV per atom

Cell: 3.9927 7.9839 8.9155 Å, 102.86 102.94 90.00°
Last column: nearest neighbours and their distance in Å.
Sites, in units of the cell vectors:
Tm1 0.3328 0.9110 0.6656  2 P 2.79, 1 S 2.83, 3 As 2.84-2.85
Tm2 0.6685 0.5792 0.3370  3 P 2.80, 3 As 2.85-2.86
Tm3 0.6672 0.0890 0.3344  2 P 2.79, 1 S 2.83, 3 As 2.84-2.85
Tm4 0.0020 0.2520 0.0040  1 P 2.77, 3 As 2.82-2.83, 2 S 2.83
Tm5 0.9980 0.7480 0.9960  1 P 2.77, 3 As 2.82-2.83, 2 S 2.83
Tm6 0.3315 0.4208 0.6630  3 P 2.80, 3 As 2.85-2.86
As1 0.5000 0.5000 0.0000  6 Tm 2.82-2.85
As2 0.8348 0.1659 0.6696  6 Tm 2.83-2.86
As3 0.1652 0.8341 0.3304  6 Tm 2.83-2.86
P1 0.8340 0.6683 0.6681  6 Tm 2.77-2.80
P2 0.1660 0.3317 0.3319  6 Tm 2.77-2.80
S1 0.5000 0.0000 0.0000  6 Tm 2.83

---

# 18
# Dy6Ni2Bi

Crystalline Dy6Ni2Bi at its relaxed geometry (PBE, the Alexandria database).

symmetry = Immm
ΔH_f (0 K) = -0.3799 eV/atom
N(E_F) = 0.8996 states/eV per atom

Cell: 8.5066 8.5066 8.5066 Å, 105.99 108.69 113.83°
Last column: nearest neighbours and their distance in Å.
Sites, in units of the cell vectors:
Dy1 0.5225 0.7033 0.8192  2 Ni 2.90
Dy2 0.4775 0.2967 0.1808  2 Ni 2.90
Dy3 0.1159 0.2967 0.8192  2 Ni 2.90
Dy4 0.8841 0.7033 0.1808  2 Ni 2.90
Dy5 0.7900 0.7717 0.5617  1 Ni 2.75
Dy6 0.2100 0.2283 0.4383  1 Ni 2.75
Dy7 0.2100 0.7717 0.9817  1 Ni 2.75
Dy8 0.7900 0.2283 0.0183  1 Ni 2.75
Dy9 0.6878 0.3621 0.6743  3 Ni 2.70-2.88
Dy10 0.3122 0.6379 0.3257  3 Ni 2.70-2.88
Dy11 0.3122 0.9864 0.6743  3 Ni 2.70-2.88
Dy12 0.6878 0.0136 0.3257  3 Ni 2.70-2.88
Ni1 0.5000 0.3757 0.8757  1 Ni 2.55, 2 Dy 2.70
Ni2 0.5000 0.6243 0.1243  1 Ni 2.55, 2 Dy 2.70
Ni3 0.6447 0.0000 0.6447  6 Dy 2.75-2.88, 1 Ni 2.87
Ni4 0.3553 0.0000 0.3553  6 Dy 2.75-2.88, 1 Ni 2.87
Bi1 0.0000 0.5000 0.5000  12 Dy 3.40-3.69
Bi2 0.0000 0.0000 0.0000  8 Dy 3.13-3.29

---

# 19
# Dy2HoGa

Crystalline Dy2HoGa at its relaxed geometry (PBE, the Alexandria database).

symmetry = R-3m
ΔH_f (0 K) = 0.1406 eV/atom
N(E_F) = 1.0454 states/eV per atom
offset from the most stable computed form = 418 meV per atom

Cell: 3.4753 3.4753 11.7928 Å, 81.53 81.53 60.00°
Last column: nearest neighbours and their distance in Å.
Sites, in units of the cell vectors:
Ho1 0.5000 0.5000 0.5000  6 Dy 3.46, 6 Ho 3.48
Ga1 0.0000 0.0000 0.0000  2 Dy 2.99
Dy1 0.0858 0.0858 0.7427  1 Ga 2.99
Dy2 0.9142 0.9142 0.2573  1 Ga 2.99

---

# 20
# Dy2YBi

Crystalline Dy2YBi at its relaxed geometry (PBE, the Alexandria database).

symmetry = R-3m
ΔH_f (0 K) = -0.1994 eV/atom
N(E_F) = 0.8729 states/eV per atom
offset from the most stable computed form = 198 meV per atom

Cell: 3.6390 3.6390 11.0771 Å, 80.55 80.55 60.00°
Last column: nearest neighbours and their distance in Å.
Sites, in units of the cell vectors:
Y1 0.5000 0.5000 0.5000  6 Dy 3.53, 6 Y 3.64
Bi1 0.0000 0.0000 0.0000  6 Dy 3.34, 6 Bi 3.64
Dy1 0.2537 0.2537 0.2389  3 Bi 3.34, 3 Y 3.53, 6 Dy 3.64
Dy2 0.7463 0.7463 0.7611  3 Bi 3.34, 3 Y 3.53, 6 Dy 3.64